Record 1
Here is a relaxed Na2UCrS4 crystal from Alexandria. Energies are from PBE.

```
Na2UCrS4
1.0
3.885 0.000 0.000
0.000 6.459 0.082
0.000 -2.277 6.663
Na U Cr S
2 1 1 4
direct
0.500 0.000 0.500 Na
0.000 0.500 0.500 Na
0.500 0.500 0.000 U
0.000 0.000 0.000 Cr
0.500 0.225 0.212 S
0.500 0.775 0.788 S
0.000 0.245 0.775 S
0.000 0.755 0.225 S
```

Calculated values
Formation energy without anion corrections = -26.13 kcal/mol of atoms
Size of the total moment = 0.750 μB per atom


Record 2
Here is a relaxed NaUCrS4 crystal from Alexandria. Energies are from PBE.

```
NaUCrS4
1.0
7.498 0.000 0.000
-3.749 6.467 -0.985
0.000 -4.365 7.179
Na U Cr S
2 2 2 8
direct
0.831 0.662 0.081 Na
0.169 0.338 0.919 Na
0.500 0.000 0.500 U
0.500 0.000 0.000 U
0.500 0.500 0.500 Cr
0.000 0.500 0.500 Cr
0.760 0.520 0.700 S
0.276 0.003 0.252 S
0.727 0.003 0.252 S
0.760 0.520 0.320 S
0.240 0.480 0.680 S
0.724 0.997 0.748 S
0.273 0.997 0.748 S
0.240 0.480 0.300 S
```

Calculated values
Formation energy without anion corrections = -25.19 kcal/mol of atoms
Size of the total moment = 0.715 μB per atom


Record 3
Here is a relaxed Na3U2CrS6 crystal from Alexandria. Energies are from PBE.

```
Na3U2CrS6
1.0
-2.610 -2.850 5.500
6.527 -0.768 -1.414
0.110 6.725 2.171
Na U Cr S
3 2 1 6
direct
0.165 0.835 0.500 Na
0.835 0.165 0.500 Na
0.500 0.500 0.500 Na
0.333 0.667 0.000 U
0.667 0.333 0.000 U
0.000 0.000 0.000 Cr
0.925 0.600 0.776 S
0.750 0.750 0.222 S
0.075 0.400 0.224 S
0.600 0.925 0.776 S
0.250 0.250 0.778 S
0.400 0.075 0.224 S
```

Calculated values
Formation energy without anion corrections = -27.75 kcal/mol of atoms
Size of the total moment = 0.750 μB per atom